## LaPr2Al (PBE)

Data for a relaxed LaPr2Al crystal.

Summary:
E_tot   -4.73 eV per atom
Polymorph energy (0 for the lowest one)   3.7 kJ/mol of formula units

Cell lengths 4.962, 4.962, 4.914 Å; angles 90.00, 90.00, 90.00 degrees
Positions (direct):
La 0.000 0.000 0.000
Pr 0.000 0.500 0.500
Pr 0.500 0.000 0.500
Al 0.500 0.500 0.000